The following is a DFT calculation (PBE-GGA) of crystalline SrPCCl2 at its relaxed geometry.

Unit cell a=5.591 b=5.591 c=6.895 alpha=90.00 beta=90.00 gamma=90.00
Sites, in units of the cell vectors:
Sr: 0.000 0.000 0.000
P: 0.000 0.000 0.500
C: 0.500 0.500 0.500
Cl: 0.000 0.500 0.000
Cl: 0.500 0.000 0.000

## Properties
The density of states at the Fermi level comes out at 1.996 states/eV/atom. Its total DFT energy (no corrections) is -15.1 eV per cell. Its space group is No. 123. The energy above the lowest structure with this stoichiometry is 1050 meV per atom. The calculation puts the calculated density at 1.55 Mg/m³.


The following is a DFT calculation (PBE-GGA) of crystalline SrPCCl2 at its relaxed geometry.

Unit cell a=5.579 b=5.579 c=3.519 alpha=90.00 beta=90.00 gamma=90.00
Sites, in units of the cell vectors:
Cl: 0.500 0.000 0.000
P: 0.000 0.000 0.500
Sr: 0.500 0.500 0.500
Cl: 0.000 0.500 0.000
C: 0.000 0.000 0.000

## Properties
The density of states at the Fermi level comes out at 0.215 states/eV/atom. Its total DFT energy (no corrections) is -20.4 eV per cell. Its space group is No. 123. The energy above the lowest structure with this stoichiometry is 0 meV per atom. The calculation puts the calculated density at 3.06 Mg/m³.


The following is a DFT calculation (PBE-GGA) of crystalline TcPCCl2 at its relaxed geometry.

Unit cell a=4.830 b=4.830 c=4.619 alpha=90.00 beta=90.00 gamma=90.00
Sites, in units of the cell vectors:
Cl: 0.000 0.500 0.000
C: 0.500 0.500 0.500
Cl: 0.500 0.000 0.000
P: 0.000 0.000 0.500
Tc: 0.000 0.000 0.000

## Properties
The density of states at the Fermi level comes out at 0.588 states/eV/atom. Its total DFT energy (no corrections) is -21.2 eV per cell. Its space group is No. 123. The energy above the lowest structure with this stoichiometry is 0 meV per atom. The calculation puts the calculated density at 3.27 Mg/m³.


The following is a DFT calculation (PBE-GGA) of crystalline TcPCCl2 at its relaxed geometry.

Unit cell a=4.183 b=4.183 c=4.046 alpha=90.00 beta=90.00 gamma=90.00
Sites, in units of the cell vectors:
P: 0.000 0.000 0.500
Cl: 0.500 0.000 0.000
Tc: 0.500 0.500 0.500
Cl: 0.000 0.500 0.000
C: 0.000 0.000 0.000

## Properties
The density of states at the Fermi level comes out at 0.902 states/eV/atom. Its total DFT energy (no corrections) is -20.5 eV per cell. Its space group is No. 123. The energy above the lowest structure with this stoichiometry is 131 meV per atom. The calculation puts the calculated density at 4.97 Mg/m³.


The following is a DFT calculation (PBE-GGA) of crystalline TcP2CCl at its relaxed geometry.

Unit cell a=3.930 b=3.930 c=4.216 alpha=90.00 beta=90.00 gamma=90.00
Sites, in units of the cell vectors:
Tc: 0.500 0.500 0.500
P: 0.000 0.500 0.000
P: 0.500 0.000 0.000
Cl: 0.000 0.000 0.500
C: 0.000 0.000 0.000

## Properties
The density of states at the Fermi level comes out at 0.673 states/eV/atom. Its total DFT energy (no corrections) is -25.6 eV per cell. Its space group is No. 123. The energy above the lowest structure with this stoichiometry is 0 meV per atom. The calculation puts the calculated density at 5.29 Mg/m³.


The following is a DFT calculation (PBE-GGA) of crystalline TcP2CCl at its relaxed geometry.

Unit cell a=4.528 b=4.528 c=5.009 alpha=90.00 beta=90.00 gamma=90.00
Sites, in units of the cell vectors:
C: 0.500 0.500 0.500
Cl: 0.000 0.000 0.500
P: 0.000 0.500 0.000
Tc: 0.000 0.000 0.000
P: 0.500 0.000 0.000

## Properties
The density of states at the Fermi level comes out at 1.013 states/eV/atom. Its total DFT energy (no corrections) is -24.1 eV per cell. Its space group is No. 123. The energy above the lowest structure with this stoichiometry is 304 meV per atom. The calculation puts the calculated density at 3.35 Mg/m³.


The following is a DFT calculation (PBE-GGA) of crystalline TePCCl2 at its relaxed geometry.

Unit cell a=5.175 b=5.175 c=5.281 alpha=90.00 beta=90.00 gamma=90.00
Sites, in units of the cell vectors:
Te: 0.000 0.000 0.000
Cl: 0.000 0.500 0.000
C: 0.500 0.500 0.500
P: 0.000 0.000 0.500
Cl: 0.500 0.000 0.000

## Properties
The density of states at the Fermi level comes out at 0.610 states/eV/atom. Its total DFT energy (no corrections) is -12.6 eV per cell. Its space group is No. 123. The energy above the lowest structure with this stoichiometry is 645 meV per atom. The calculation puts the calculated density at 2.84 Mg/m³.


The following is a DFT calculation (PBE-GGA) of crystalline TeP2CCl at its relaxed geometry.

Unit cell a=5.237 b=5.237 c=5.169 alpha=90.00 beta=90.00 gamma=90.00
Sites, in units of the cell vectors:
Te: 0.000 0.000 0.000
P: 0.500 0.000 0.000
P: 0.000 0.500 0.000
Cl: 0.000 0.000 0.500
C: 0.500 0.500 0.500

## Properties
The density of states at the Fermi level comes out at 1.065 states/eV/atom. Its total DFT energy (no corrections) is -13.9 eV per cell. Its space group is No. 123. The energy above the lowest structure with this stoichiometry is 1067 meV per atom. The calculation puts the calculated density at 2.78 Mg/m³.


The following is a DFT calculation (PBE-GGA) of crystalline TePCCl2 at its relaxed geometry.

Unit cell a=4.352 b=4.352 c=4.583 alpha=90.00 beta=90.00 gamma=90.00
Sites, in units of the cell vectors:
Cl: 0.500 0.000 0.000
Te: 0.500 0.500 0.500
P: 0.000 0.000 0.500
Cl: 0.000 0.500 0.000
C: 0.000 0.000 0.000

## Properties
The density of states at the Fermi level comes out at 0.686 states/eV/atom. Its total DFT energy (no corrections) is -15.8 eV per cell. Its space group is No. 123. The energy above the lowest structure with this stoichiometry is 0 meV per atom. The calculation puts the calculated density at 4.62 Mg/m³.


The following is a DFT calculation (PBE-GGA) of crystalline TeP2CCl at its relaxed geometry.

Unit cell a=4.301 b=4.301 c=4.353 alpha=90.00 beta=90.00 gamma=90.00
Sites, in units of the cell vectors:
P: 0.000 0.500 0.000
C: 0.000 0.000 0.000
Te: 0.500 0.500 0.500
P: 0.500 0.000 0.000
Cl: 0.000 0.000 0.500

## Properties
The density of states at the Fermi level comes out at 0.494 states/eV/atom. Its total DFT energy (no corrections) is -19.3 eV per cell. Its space group is No. 123. The energy above the lowest structure with this stoichiometry is 0 meV per atom. The calculation puts the calculated density at 4.89 Mg/m³.


The following is a DFT calculation (PBE-GGA) of crystalline Th6P2C3Cl at its relaxed geometry.

Unit cell a=3.881 b=8.113 c=8.980 alpha=106.44 beta=102.48 gamma=90.00
Sites, in units of the cell vectors:
Cl: 0.500 0.000 0.000
C: 0.500 0.500 0.000
Th: 0.678 0.065 0.355
C: 0.832 0.166 0.664
Th: 0.322 0.935 0.645
Th: 0.338 0.400 0.676
Th: 0.010 0.720 0.020
P: 0.162 0.326 0.324
C: 0.168 0.834 0.336
Th: 0.990 0.280 0.980
P: 0.838 0.674 0.676
Th: 0.662 0.600 0.324

## Properties
The density of states at the Fermi level comes out at 0.482 states/eV/atom. Its total DFT energy (no corrections) is -96.1 eV per cell. Its space group is No. 12. The calculation puts the calculated density at 9.59 Mg/m³.


The following is a DFT calculation (PBE-GGA) of crystalline TiP2CCl at its relaxed geometry.

Unit cell a=4.774 b=4.774 c=4.639 alpha=90.00 beta=90.00 gamma=90.00
Sites, in units of the cell vectors:
P: 0.000 0.500 0.000
Cl: 0.000 0.000 0.500
P: 0.500 0.000 0.000
C: 0.500 0.500 0.500
Ti: 0.000 0.000 0.000

## Properties
The density of states at the Fermi level comes out at 0.709 states/eV/atom. Its total DFT energy (no corrections) is -23.2 eV per cell. Its space group is No. 123. The energy above the lowest structure with this stoichiometry is 493 meV per atom. The calculation puts the calculated density at 2.47 Mg/m³.


In Å³ per cell, the V values for the records above are, in order, 215.5; 109.5; 107.7; 70.8; 65.1; 102.7; 141.4; 141.8; 86.8; 80.5; 264.2; 105.7.